NiAsNO2: optimized geometry, PBE+U.

Final energy ... -22.76 eV for the cell shown
Volume ... 52.4 Å³/cell

a = 3.725 Å, b = 3.725 Å, c = 3.778 Å
α = 90.00°, β = 90.00°, γ = 90.00°
Space group P4/mmm (No. 123)
Inequivalent atoms, fractional coordinates:
Ni 0.000 0.000 0.000 x1
As 0.500 0.500 0.500 x1
N 0.000 0.000 0.500 x1
O 0.000 0.500 0.000 x2